1.
PrNd2HoEr: optimized geometry, PBE-GGA.

Values from the calculation:
E_form: 27 kJ per mole of atoms
crystal system: monoclinic
theoretical density: 7.3 g/cm3
symmetry: P2/c, No. 13

Geometry as extended XYZ:
```
10
Lattice="6.748 0.000 0.000 0.000 8.170 1.426 0.000 -1.111 6.120" Properties=species:S:1:pos:R:3 pbc="T T T"
Pr 0.000 0.000 0.000
Pr 0.000 -0.556 3.060
Nd 4.657 4.833 5.595
Nd 4.657 1.670 5.010
Nd 2.091 5.389 2.535
Nd 2.091 2.226 1.950
Ho 1.059 3.251 5.303
Ho 5.689 3.807 2.243
Er 3.894 -0.278 1.530
Er 2.855 -0.833 4.590
```

***

2.
Pr6Nd3HoEr2: optimized geometry, PBE-GGA.

Values from the calculation:
E_form: 1 kJ per mole of atoms
crystal system: monoclinic
theoretical density: 7.1 g/cm3
symmetry: C2/m, No. 12

Geometry as extended XYZ:
```
12
Lattice="-3.329 -1.403 5.227 -2.349 -1.398 -5.736 7.093 -9.695 0.630" Properties=species:S:1:pos:R:3 pbc="T T T"
Pr 0.927 -9.422 1.921
Pr -2.514 -4.473 -0.227
Pr 0.488 -3.074 -1.801
Pr 1.253 -9.420 -1.735
Pr 3.928 -8.023 0.348
Pr 0.161 -3.075 1.856
Nd 1.034 -6.246 -3.594
Nd 0.380 -6.249 3.715
Nd 0.707 -6.248 0.060
Ho 0.000 0.000 0.000
Er -2.676 -1.400 -2.082
Er -3.002 -1.401 1.573
```

***

3.
Pr2NdHoEr4: optimized geometry, PBE-GGA.

Values from the calculation:
E_form: 40 kJ per mole of atoms
crystal system: orthorhombic
theoretical density: 7.8 g/cm3
symmetry: Imma, No. 74

Geometry as extended XYZ:
```
16
Lattice="-6.439 -3.343 6.172 -5.877 -2.562 -7.044 11.837 -0.866 0.452" Properties=species:S:1:pos:R:3 pbc="T T T"
Pr -3.220 -1.671 3.086
Pr 2.699 -2.104 3.312
Pr 5.918 -0.433 0.226
Pr -6.158 -2.952 -0.436
Nd -2.939 -1.281 -3.522
Nd -3.459 -5.056 2.876
Ho -0.240 -3.385 -0.210
Ho 5.397 -4.209 6.624
Er -6.012 -2.752 -3.811
Er -0.381 -3.577 3.022
Er -0.099 -3.193 -3.443
Er 5.532 -4.018 3.391
Er 2.537 -5.292 -0.205
Er -3.256 -4.863 -0.425
Er 2.776 -1.907 0.004
Er -3.016 -1.478 -0.216
```

***

4.
Pr6Nd2HoEr3: optimized geometry, PBE-GGA.

Values from the calculation:
E_form: 1 kJ per mole of atoms
crystal system: monoclinic
theoretical density: 7.3 g/cm3
symmetry: C2/m, No. 12

Geometry as extended XYZ:
```
12
Lattice="-6.124 0.462 1.519 2.870 -5.637 0.105 4.008 3.421 10.736" Properties=species:S:1:pos:R:3 pbc="T T T"
Pr -0.941 -0.311 9.466
Pr -1.430 -3.024 3.947
Pr 1.695 -1.443 2.894
Pr 2.048 -2.337 8.996
Pr 2.184 1.270 8.414
Pr -1.294 0.583 3.364
Nd -0.127 -3.605 0.576
Nd -3.127 -1.570 1.048
Ho 0.000 0.000 0.000
Er 3.377 -2.911 5.709
Er -2.622 1.157 6.652
Er 0.377 -0.877 6.180
```

***

5.
Pr4NdHoEr2: optimized geometry, PBE-GGA.

Values from the calculation:
E_form: 1 kJ per mole of atoms
crystal system: monoclinic
theoretical density: 7.4 g/cm3
symmetry: P2/m, No. 10

Geometry as extended XYZ:
```
8
Lattice="-2.769 -3.996 -1.787 3.305 -0.540 -3.915 8.897 -6.919 1.684" Properties=species:S:1:pos:R:3 pbc="T T T"
Pr 9.142 -5.581 -1.688
Pr 0.291 -5.874 -2.330
Pr 3.332 -4.151 -3.388
Pr 6.102 -7.304 -0.630
Nd 0.268 -2.268 -2.851
Ho 6.101 -3.730 -1.115
Er 8.897 -6.919 1.684
Er 3.064 -5.457 -0.051
```

***

6.
PrNd2HoEr4: optimized geometry, PBE-GGA.

Values from the calculation:
E_form: 40 kJ per mole of atoms
crystal system: orthorhombic
theoretical density: 7.9 g/cm3
symmetry: Imma, No. 74

Geometry as extended XYZ:
```
16
Lattice="9.355 -0.009 -1.744 -0.016 9.354 -1.744 -5.966 -5.970 8.325" Properties=species:S:1:pos:R:3 pbc="T T T"
Pr -0.008 4.677 -0.872
Pr 6.363 1.683 1.547
Nd 4.677 -0.005 -0.872
Nd 1.694 -2.990 3.291
Nd -2.983 -2.985 4.163
Nd 4.669 4.672 -1.744
Ho 1.686 1.687 2.419
Ho 3.388 -5.980 6.581
Er 2.282 7.056 -1.741
Er 3.987 -0.609 2.417
Er -0.614 3.984 2.421
Er 1.090 -3.681 6.579
Er 1.064 1.064 5.675
Er 3.995 3.997 1.582
Er -0.623 -0.623 3.256
Er 2.308 2.311 -0.837
```

***

7.
Pr2NdHo2Er2: optimized geometry, PBE-GGA.

Values from the calculation:
E_form: 14 kJ per mole of atoms
crystal system: monoclinic
theoretical density: 7.7 g/cm3
symmetry: C2/m, No. 12

Geometry as extended XYZ:
```
7
Lattice="-1.322 -0.106 3.245 -7.761 0.891 -5.027 3.305 -7.747 1.093" Properties=species:S:1:pos:R:3 pbc="T T T"
Pr -0.132 -6.871 1.615
Pr -5.646 -0.091 -2.303
Nd 1.652 -3.874 0.546
Ho -4.706 -5.200 -2.088
Ho -1.072 -1.762 1.399
Er -4.271 -2.502 0.071
Er -1.507 -4.460 -0.760
```

***

8.
Pr4NdHo2Er: optimized geometry, PBE-GGA.

Values from the calculation:
E_form: 1 kJ per mole of atoms
crystal system: orthorhombic
theoretical density: 7.4 g/cm3
symmetry: Pmmm, No. 47

Geometry as extended XYZ:
```
8
Lattice="-4.205 2.017 2.271 0.443 -3.406 3.845 6.327 3.116 8.947" Properties=species:S:1:pos:R:3 pbc="T T T"
Pr 5.063 -0.234 9.582
Pr -2.498 1.962 5.482
Pr -0.171 -0.746 6.270
Pr 2.736 2.474 8.793
Nd -1.881 -0.694 3.058
Ho 6.327 3.116 8.947
Ho 1.061 2.567 5.609
Er 3.385 -0.145 6.396
```